Record 1
LiTlAg2: optimized geometry, PBE.

Cell and atoms, written as POSCAR:
```
LiTlAg2
1.0
4.279 0.000 0.000
0.000 4.279 0.000
0.000 0.000 8.364
Li Tl Ag
2 2 4
direct
0.000 0.000 0.000
0.500 0.500 0.500
0.000 0.500 0.250
0.500 0.000 0.750
0.000 0.000 0.500
0.000 0.500 0.750
0.500 0.000 0.250
0.500 0.500 0.000
```

Results
raw total energy = -2.59 eV per atom
crystal system = tetragonal

***

Record 2
Li4TlAg2: optimized geometry, PBE.

Cell and atoms, written as POSCAR:
```
Li4TlAg2
1.0
4.971 0.000 0.000
0.000 4.971 0.000
0.000 0.000 13.546
Li Tl Ag
8 2 4
direct
0.000 0.000 0.202
0.000 0.000 0.798
0.000 0.500 0.000
0.000 0.500 0.500
0.500 0.000 0.000
0.500 0.000 0.500
0.500 0.500 0.298
0.500 0.500 0.702
0.000 0.000 0.000
0.500 0.500 0.500
0.000 0.000 0.398
0.000 0.000 0.602
0.500 0.500 0.102
0.500 0.500 0.898
```

Results
raw total energy = -2.09 eV per atom
crystal system = tetragonal
offset from the most stable computed form = 332.5 meV/atom

***

Record 3
Li12Tl2Ag5: optimized geometry, PBE.

Cell and atoms, written as POSCAR:
```
Li12Tl2Ag5
1.0
6.873 -3.528 0.000
6.873 3.528 0.000
-0.546 0.000 7.036
Li Tl Ag
12 2 5
direct
0.053 0.053 0.203
0.114 0.529 0.728
0.127 0.649 0.130
0.318 0.318 0.383
0.351 0.873 0.870
0.471 0.886 0.272
0.529 0.114 0.728
0.649 0.127 0.130
0.682 0.682 0.617
0.873 0.351 0.870
0.886 0.471 0.272
0.947 0.947 0.797
0.283 0.717 0.500
0.717 0.283 0.500
0.157 0.157 0.584
0.246 0.246 0.014
0.500 0.500 0.000
0.754 0.754 0.986
0.843 0.843 0.416
```

Results
raw total energy = -2.33 eV per atom
crystal system = monoclinic

***

Record 4
Li7Tl3Ag2: optimized geometry, PBE.

Cell and atoms, written as POSCAR:
```
Li7Tl3Ag2
1.0
4.720 0.000 0.000
0.000 3.369 0.000
-2.047 0.000 14.784
Li Tl Ag
7 3 2
direct
0.000 0.000 0.000
0.100 0.500 0.182
0.266 0.500 0.538
0.419 0.000 0.851
0.581 0.000 0.149
0.734 0.500 0.462
0.900 0.500 0.818
0.186 0.000 0.364
0.500 0.500 0.000
0.814 0.000 0.636
0.352 0.500 0.715
0.648 0.500 0.285
```

Results
raw total energy = -2.31 eV per atom
crystal system = monoclinic
offset from the most stable computed form = 0.0 meV/atom

***

Record 5
Li6Tl3Ag2: optimized geometry, PBE.

Cell and atoms, written as POSCAR:
```
Li6Tl3Ag2
1.0
-2.435 2.435 10.290
2.435 -2.435 10.290
2.435 2.435 -10.290
Li Tl Ag
6 3 2
direct
0.090 0.590 0.500
0.195 0.195 0.000
0.410 0.910 0.500
0.590 0.090 0.500
0.805 0.805 0.000
0.910 0.410 0.500
0.331 0.331 0.000
0.500 0.500 0.000
0.669 0.669 0.000
0.064 0.064 0.000
0.936 0.936 0.000
```

Results
raw total energy = -2.24 eV per atom
crystal system = tetragonal

***

Record 6
Li8Tl3Ag: optimized geometry, PBE.

Cell and atoms, written as POSCAR:
```
Li8Tl3Ag
1.0
4.972 -3.013 0.000
4.972 3.013 0.000
-4.963 0.000 8.106
Li Tl Ag
8 3 1
direct
0.095 0.594 0.190
0.155 0.155 0.322
0.334 0.334 0.679
0.406 0.905 0.810
0.594 0.095 0.190
0.666 0.666 0.321
0.845 0.845 0.678
0.905 0.406 0.810
0.250 0.750 0.000
0.500 0.500 0.500
0.750 0.250 0.000
0.000 0.000 0.500
```

Results
raw total energy = -2.24 eV per atom
crystal system = monoclinic

***

Record 7
Li3TlAg: optimized geometry, PBE.

Cell and atoms, written as POSCAR:
```
Li3TlAg
1.0
4.906 0.000 0.000
0.000 4.906 0.000
0.000 0.000 4.906
Li Tl Ag
3 1 1
direct
0.000 0.000 0.500
0.000 0.500 0.000
0.500 0.000 0.000
0.500 0.500 0.500
0.000 0.000 0.000
```

Results
raw total energy = -2.16 eV per atom
crystal system = cubic
offset from the most stable computed form = 190.8 meV/atom

***

Record 8
Li5Tl2Ag3: optimized geometry, PBE.

Cell and atoms, written as POSCAR:
```
Li5Tl2Ag3
1.0
-4.923 7.140 2.759
4.923 -7.140 2.759
4.923 7.140 -2.759
Li Tl Ag
10 4 6
direct
0.047 0.722 0.769
0.069 0.750 0.319
0.250 0.250 0.000
0.431 0.750 0.681
0.453 0.222 0.675
0.547 0.778 0.325
0.569 0.250 0.319
0.750 0.750 0.000
0.931 0.250 0.681
0.953 0.278 0.231
0.163 0.229 0.392
0.337 0.729 0.066
0.663 0.271 0.934
0.837 0.771 0.608
0.164 0.927 0.091
0.250 0.750 0.500
0.336 0.427 0.762
0.664 0.573 0.238
0.750 0.250 0.500
0.836 0.073 0.909
```

Results
raw total energy = -2.38 eV per atom
crystal system = orthorhombic

***

Record 9
LiTlAg: optimized geometry, PBE.

Cell and atoms, written as POSCAR:
```
LiTlAg
1.0
3.372 0.000 0.000
0.000 4.079 0.000
-0.006 0.000 4.745
Li Tl Ag
1 1 1
direct
0.000 0.000 0.000
0.500 0.000 0.500
0.500 0.500 0.000
```

Results
raw total energy = -2.38 eV per atom
crystal system = monoclinic
offset from the most stable computed form = 148.9 meV/atom

***

Record 10
Li8Tl3Ag2: optimized geometry, PBE.

Cell and atoms, written as POSCAR:
```
Li8Tl3Ag2
1.0
2.686 1.551 10.047
-2.686 1.551 10.047
0.000 -3.101 10.047
Li Tl Ag
8 3 2
direct
0.219 0.219 0.219
0.231 0.231 0.725
0.231 0.725 0.231
0.275 0.769 0.769
0.725 0.231 0.231
0.769 0.275 0.769
0.769 0.769 0.275
0.781 0.781 0.781
0.314 0.314 0.314
0.500 0.500 0.500
0.686 0.686 0.686
0.133 0.133 0.133
0.867 0.867 0.867
```

Results
raw total energy = -2.26 eV per atom
crystal system = trigonal

***

Record 11
LiTlAg2: optimized geometry, PBE.

Cell and atoms, written as POSCAR:
```
LiTlAg2
1.0
4.072 0.000 0.000
0.000 4.072 0.000
0.000 0.000 20.402
Li Tl Ag
4 4 8
direct
0.000 0.000 0.000
0.000 0.500 0.250
0.500 0.000 0.750
0.500 0.500 0.500
0.000 0.000 0.500
0.000 0.500 0.750
0.500 0.000 0.250
0.500 0.500 0.000
0.243 0.250 0.125
0.250 0.743 0.375
0.250 0.757 0.875
0.257 0.250 0.625
0.743 0.750 0.625
0.750 0.243 0.875
0.750 0.257 0.375
0.757 0.750 0.125
```

Results
raw total energy = -2.44 eV per atom
crystal system = tetragonal

***

Record 12
Li5Tl2Ag: optimized geometry, PBE.

Cell and atoms, written as POSCAR:
```
Li5Tl2Ag
1.0
4.840 0.000 0.000
0.000 4.840 0.000
0.000 0.000 12.682
Li Tl Ag
10 4 2
direct
0.000 0.000 0.000
0.000 0.500 0.120
0.000 0.500 0.380
0.000 0.500 0.620
0.000 0.500 0.880
0.500 0.000 0.120
0.500 0.000 0.380
0.500 0.000 0.620
0.500 0.000 0.880
0.500 0.500 0.500
0.000 0.000 0.251
0.000 0.000 0.749
0.500 0.500 0.249
0.500 0.500 0.751
0.000 0.000 0.500
0.500 0.500 0.000
```

Results
raw total energy = -2.34 eV per atom
crystal system = tetragonal

***

Record 13
LiTlAg: optimized geometry, PBE.

Cell and atoms, written as POSCAR:
```
LiTlAg
1.0
3.557 0.000 0.000
-0.007 3.585 0.000
-1.772 -1.795 4.635
Li Tl Ag
1 1 1
direct
0.000 0.000 0.000
0.675 0.674 0.349
0.358 0.356 0.714
```

Results
raw total energy = -2.53 eV per atom
crystal system = triclinic
offset from the most stable computed form = 0.0 meV/atom

***

Record 14
Li4TlAg7: optimized geometry, PBE.

Cell and atoms, written as POSCAR:
```
Li4TlAg7
1.0
5.322 -2.599 0.000
5.322 2.599 0.000
-5.168 0.000 8.554
Li Tl Ag
4 1 7
direct
0.096 0.096 0.270
0.234 0.234 0.816
0.766 0.766 0.184
0.904 0.904 0.730
0.500 0.500 0.500
0.000 0.000 0.500
0.150 0.150 0.029
0.288 0.288 0.585
0.455 0.455 0.117
0.545 0.545 0.883
0.712 0.712 0.415
0.850 0.850 0.971
```

Results
raw total energy = -2.49 eV per atom
crystal system = monoclinic
offset from the most stable computed form = 121.3 meV/atom

***

Record 15
Li4TlAg4: optimized geometry, PBE.

Cell and atoms, written as POSCAR:
```
Li4TlAg4
1.0
6.116 0.000 0.000
0.000 6.116 0.000
0.000 0.000 9.471
Li Tl Ag
8 2 8
direct
0.015 0.250 0.029
0.250 0.015 0.529
0.250 0.485 0.529
0.485 0.250 0.029
0.515 0.750 0.971
0.750 0.515 0.471
0.750 0.985 0.471
0.985 0.750 0.971
0.250 0.750 0.250
0.750 0.250 0.750
0.026 0.250 0.327
0.250 0.026 0.827
0.250 0.474 0.827
0.474 0.250 0.327
0.526 0.750 0.673
0.750 0.526 0.173
0.750 0.974 0.173
0.974 0.750 0.673
```

Results
raw total energy = -2.45 eV per atom
crystal system = tetragonal
offset from the most stable computed form = 52.8 meV/atom

***

Record 16
Li4Tl2Ag: optimized geometry, PBE.

Cell and atoms, written as POSCAR:
```
Li4Tl2Ag
1.0
2.385 1.377 6.885
-2.385 1.377 6.885
0.000 -2.754 6.885
Li Tl Ag
4 2 1
direct
0.086 0.086 0.086
0.366 0.366 0.366
0.634 0.634 0.634
0.914 0.914 0.914
0.230 0.230 0.230
0.770 0.770 0.770
0.500 0.500 0.500
```

Results
raw total energy = -2.35 eV per atom
crystal system = trigonal
offset from the most stable computed form = 0.0 meV/atom

***

Record 17
Li12Tl5Ag2: optimized geometry, PBE.

Cell and atoms, written as POSCAR:
```
Li12Tl5Ag2
1.0
6.608 -3.894 0.000
6.608 3.894 0.000
-0.198 0.000 7.093
Li Tl Ag
12 5 2
direct
0.044 0.044 0.316
0.084 0.659 0.323
0.168 0.539 0.751
0.341 0.916 0.677
0.417 0.417 0.112
0.461 0.832 0.249
0.539 0.168 0.751
0.583 0.583 0.888
0.659 0.084 0.323
0.832 0.461 0.249
0.916 0.341 0.677
0.956 0.956 0.684
0.208 0.208 0.996
0.245 0.245 0.438
0.500 0.500 0.500
0.755 0.755 0.562
0.792 0.792 0.004
0.188 0.812 0.000
0.812 0.188 0.000
```

Results
raw total energy = -2.31 eV per atom
crystal system = monoclinic

***

Record 18
Li3Tl2Ag3: optimized geometry, PBE.

Cell and atoms, written as POSCAR:
```
Li3Tl2Ag3
1.0
4.620 0.000 0.000
0.000 4.658 0.000
0.000 0.000 6.937
Li Tl Ag
3 2 3
direct
0.000 0.000 0.000
0.000 0.000 0.500
0.500 0.500 0.000
0.500 0.000 0.243
0.500 0.000 0.757
0.000 0.500 0.234
0.000 0.500 0.766
0.500 0.500 0.500
```

Results
raw total energy = -2.53 eV per atom
crystal system = orthorhombic

***

Record 19
Li4TlAg2: optimized geometry, PBE.

Cell and atoms, written as POSCAR:
```
Li4TlAg2
1.0
5.089 0.000 0.000
0.000 10.856 0.000
0.000 0.000 5.017
Li Tl Ag
8 2 4
direct
0.000 0.137 0.000
0.000 0.312 0.500
0.000 0.688 0.500
0.000 0.863 0.000
0.500 0.188 0.500
0.500 0.363 0.000
0.500 0.637 0.000
0.500 0.812 0.500
0.000 0.000 0.500
0.500 0.500 0.500
0.000 0.377 0.000
0.000 0.623 0.000
0.500 0.123 0.000
0.500 0.877 0.000
```

Results
raw total energy = -2.28 eV per atom
crystal system = orthorhombic
offset from the most stable computed form = 139.5 meV/atom

***

Record 20
Li5Tl6Ag: optimized geometry, PBE.

Cell and atoms, written as POSCAR:
```
Li5Tl6Ag
1.0
2.421 -7.227 0.000
2.421 7.227 0.000
0.000 0.000 7.369
Li Tl Ag
5 6 1
direct
0.000 0.000 0.000
0.333 0.667 0.000
0.340 0.660 0.500
0.660 0.340 0.500
0.667 0.333 0.000
0.169 0.831 0.249
0.169 0.831 0.751
0.500 0.500 0.239
0.500 0.500 0.761
0.831 0.169 0.249
0.831 0.169 0.751
0.000 0.000 0.500
```

Results
raw total energy = -2.39 eV per atom
crystal system = orthorhombic

***

Record 21
Li2TlAg: optimized geometry, PBE.

Cell and atoms, written as POSCAR:
```
Li2TlAg
1.0
4.192 0.000 0.000
0.000 4.203 0.000
0.000 0.000 8.369
Li Tl Ag
4 2 2
direct
0.000 0.000 0.000
0.000 0.500 0.250
0.500 0.000 0.750
0.500 0.500 0.500
0.000 0.500 0.750
0.500 0.000 0.250
0.000 0.000 0.501
0.500 0.500 0.001
```

Results
raw total energy = -2.47 eV per atom
crystal system = orthorhombic

***

Record 22
Li7TlAg2: optimized geometry, PBE.

Cell and atoms, written as POSCAR:
```
Li7TlAg2
1.0
4.605 0.000 0.000
-2.303 3.988 0.000
0.000 0.000 9.899
Li Tl Ag
7 1 2
direct
0.000 0.000 0.000
0.000 0.000 0.244
0.000 0.000 0.749
0.333 0.667 0.401
0.333 0.667 0.793
0.667 0.333 0.204
0.667 0.333 0.585
0.667 0.333 0.902
0.000 0.000 0.496
0.333 0.667 0.095
```

Results
raw total energy = -2.26 eV per atom
crystal system = trigonal
offset from the most stable computed form = 0.0 meV/atom

***

| no. | E_form (meV per atom) | density (g cm⁻³) |
| --- | --- | --- |
| 1 | -99 | 9.26 |
| 2 | 159 | 4.44 |
| 3 | -127 | 5.02 |
| 4 | -122 | 6.20 |
| 5 | -33 | 5.93 |
| 6 | -133 | 5.31 |
| 7 | 34 | 4.68 |
| 8 | -98 | 6.57 |
| 9 | 0 | 8.12 |
| 10 | -97 | 5.85 |
| 11 | 60 | 8.38 |
| 12 | -195 | 6.16 |
| 13 | -149 | 8.97 |
| 14 | 5 | 6.93 |
| 15 | -70 | 6.22 |
| 16 | -175 | 6.66 |
| 17 | -180 | 6.01 |
| 18 | -148 | 8.38 |
| 19 | -34 | 5.37 |
| 20 | -169 | 8.82 |
| 21 | -213 | 7.35 |
| 22 | -116 | 4.28 |